Compound: CuHIrRh2
Source: Alexandria
Functional: PBE
Structure: relaxed

Computed properties:
symmetry = P4/mmm
energy above the lowest structure with this stoichiometry = 0.000 eV per atom

Cell lengths 3.8894, 3.8894, 3.8723 Å; angles 90.00, 90.00, 90.00 degrees
Atoms (fractional coordinates):
H 0.0000 0.0000 0.0000
Ir 0.0000 0.0000 0.5000
Rh 0.0000 0.5000 0.0000
Rh 0.5000 0.0000 0.0000
Cu 0.5000 0.5000 0.5000


Compound: CuHIrRh2
Source: Alexandria
Functional: PBE
Structure: relaxed

Computed properties:
symmetry = P4/mmm
energy above the lowest structure with this stoichiometry = 1.574 eV per atom

Cell lengths 4.7181, 4.7706, 4.7181 Å; angles 90.00, 90.00, 90.00 degrees
Atoms (fractional coordinates):
H 0.5000 0.5000 0.5000
Ir 0.0000 0.0000 0.0000
Rh 0.0000 0.0000 0.5000
Rh 0.5000 0.0000 0.0000
Cu 0.0000 0.5000 0.0000


Compound: CuHIrRh2
Source: Alexandria
Functional: PBE
Structure: relaxed

Computed properties:
symmetry = P4/mmm
energy above the lowest structure with this stoichiometry = 0.001 eV per atom

Cell lengths 3.8727, 3.8727, 3.8648 Å; angles 90.00, 90.00, 90.00 degrees
Atoms (fractional coordinates):
H 0.0000 0.0000 0.0000
Ir 0.5000 0.5000 0.5000
Rh 0.0000 0.5000 0.0000
Rh 0.5000 0.0000 0.0000
Cu 0.0000 0.0000 0.5000


no.,D(E_F) (states/eV/f.u.),V (Å³/cell)
1,8.60,58.58
2,4.50,106.20
3,6.11,57.96